This record from Alexandria describes a relaxed In2IrRh crystal. The functional is PBE.

Output
**Calculated volume**: 17.578 Å³ per atom
**Formation enthalpy at 0 K**: 0.165 eV/atom
**Raw total energy**: -5.257 eV/atom

Cell: 4.633 4.633 4.633 Å, 60.00 60.00 60.00°
Sites, in units of the cell vectors:
1 In 0.000 0.000 0.000
2 In 0.250 0.250 0.250
3 Ir 0.500 0.500 0.500
4 Rh 0.750 0.750 0.750

=====

This record from Alexandria describes a relaxed In2IrRh crystal. The functional is PBE.

Output
**Calculated volume**: 17.450 Å³ per atom
**Formation enthalpy at 0 K**: -0.014 eV/atom
**Raw total energy**: -5.437 eV/atom

Cell: 5.282 5.282 5.282 Å, 136.15 136.15 63.75°
Sites, in units of the cell vectors:
1 In 0.000 0.000 0.000
2 In 0.750 0.250 0.500
3 Ir 0.250 0.750 0.500
4 Rh 0.500 0.500 0.000

=====

This record from Alexandria describes a relaxed In2Ir2Rh crystal. The functional is PBE.

Output
**Calculated volume**: 18.237 Å³ per atom
**Formation enthalpy at 0 K**: 0.095 eV/atom
**Raw total energy**: -6.015 eV/atom

Cell: 6.753 6.753 3.999 Å, 90.00 90.00 90.00°
Sites, in units of the cell vectors:
1 In 0.175 0.325 0.000
2 In 0.325 0.825 0.000
3 In 0.675 0.175 0.000
4 In 0.825 0.675 0.000
5 Ir 0.130 0.630 0.500
6 Ir 0.370 0.130 0.500
7 Ir 0.630 0.870 0.500
8 Ir 0.870 0.370 0.500
9 Rh 0.000 0.000 0.500
10 Rh 0.500 0.500 0.500

=====

This record from Alexandria describes a relaxed InIr4Rh crystal. The functional is PBE.

Output
**Calculated volume**: 16.613 Å³ per atom
**Formation enthalpy at 0 K**: 0.418 eV/atom
**Raw total energy**: -7.171 eV/atom

Cell: 5.204 5.204 5.204 Å, 60.00 60.00 60.00°
Sites, in units of the cell vectors:
1 In 0.000 0.000 0.000
2 Ir 0.126 0.625 0.625
3 Ir 0.625 0.126 0.625
4 Ir 0.625 0.625 0.126
5 Ir 0.625 0.625 0.625
6 Rh 0.250 0.250 0.250

=====

Question: Which of these has the highest formation enthalpy at 0 K?
Answer: InIr4Rh

=====

Question: What is the calculated volume in the third record?
Answer: 18.237 Å³ per atom

=====

Question: Number 4 is which compound?
Answer: InIr4Rh